No. 1
Ho8In2Co | PBE-GGA | optimized geometry

Properties
uncorrected energy: -4.678 eV/atom
formation energy: -0.2045 eV per atom

Cell lengths 17.1231, 5.4732, 6.8669 Å; angles 90.00, 113.12, 90.00 degrees
Closest atoms and distances in Å follow each position.
Space group C2/m (No. 12)
Inequivalent atoms, fractional coordinates:
1 Ho 0.0053 0.0000 0.2641  2 Co 3.20, 2 In 3.29-3.50, 8 Ho 3.30-3.56
2 Ho 0.1097 0.5000 0.8922  1 Co 2.61
3 Ho 0.1317 0.5000 0.3935  1 Co 2.63
4 Ho 0.1955 0.0000 0.7264  4 In 3.26-3.61, 8 Ho 3.33-3.54
5 In 0.1836 0.0000 0.1891  11 Ho 3.26-3.61
6 Co 0.0000 0.5000 0.5000  4 Ho 2.61-2.63



No. 2
HoInCo | PBE-GGA | optimized geometry

Properties
uncorrected energy: -4.954 eV/atom
formation energy: -0.1470 eV per atom

Cell lengths 6.4030, 6.4030, 6.4030 Å; angles 90.00, 90.00, 90.00 degrees
Closest atoms and distances in Å follow each position.
Space group F-43m (No. 216)
Inequivalent atoms, fractional coordinates:
1 Ho 0.0000 0.0000 0.0000  4 Co 2.77
2 In 0.0000 0.0000 0.5000  4 Co 2.77
3 Co 0.2500 0.2500 0.7500  4 In 2.77, 4 Ho 2.77



No. 3
Ho8In3Co | PBE-GGA | optimized geometry

Properties
uncorrected energy: -4.684 eV/atom
formation energy: -0.3554 eV per atom
ΔE to the lowest computed polymorph: 0.00 kJ per mole of atoms

Cell lengths 10.3200, 10.3200, 6.9794 Å; angles 90.00, 90.00, 120.00 degrees
Closest atoms and distances in Å follow each position.
Space group P6_3mc (No. 186)
Inequivalent atoms, fractional coordinates:
1 Ho 0.0000 0.0000 0.2801  6 In 3.36-3.43, 8 Ho 3.49-3.74
2 Ho 0.0702 0.5351 0.2928  1 Co 2.82
3 Ho 0.1783 0.3567 0.0000  1 Co 2.81, 2 In 3.07
4 Ho 0.3333 0.6667 0.6837  1 Co 2.70
5 In 0.1628 0.3256 0.5397  8 Ho 3.07-3.43
6 Co 0.3333 0.6667 0.0706  7 Ho 2.70-2.82



No. 4
Ho6In2Co | PBE-GGA | optimized geometry

Properties
uncorrected energy: -4.533 eV/atom
formation energy: -0.0832 eV per atom

Cell lengths 5.0821, 7.1802, 14.5531 Å; angles 90.00, 90.00, 90.00 degrees
Closest atoms and distances in Å follow each position.
Space group Immm (No. 71)
Inequivalent atoms, fractional coordinates:
1 Ho 0.0000 0.2201 0.0000  2 Co 2.99, 2 In 3.15, 1 Ho 3.16
2 Ho 0.0000 0.2621 0.3490  1 Co 2.78
3 In 0.0000 0.5000 0.1668  8 Ho 3.15-3.17
4 Co 0.0000 0.5000 0.5000  8 Ho 2.78-2.99



No. 5
Ho4In2Co | PBE-GGA | optimized geometry

Properties
uncorrected energy: -4.581 eV/atom
formation energy: -0.1679 eV per atom
ΔE to the lowest computed polymorph: 4.43 kJ per mole of atoms

Cell lengths 4.9432, 4.9432, 16.1045 Å; angles 90.00, 90.00, 90.00 degrees
Closest atoms and distances in Å follow each position.
Space group I4/mmm (No. 139)
Inequivalent atoms, fractional coordinates:
1 Ho 0.0000 0.0000 0.1721  1 Co 2.77, 1 In 3.09
2 Ho 0.0000 0.5000 0.0000  2 Co 2.47
3 In 0.0000 0.0000 0.3640  5 Ho 3.09-3.30
4 Co 0.0000 0.0000 0.0000  4 Ho 2.47



No. 6
Ho4InCo2 | PBE-GGA | optimized geometry

Properties
uncorrected energy: -5.157 eV/atom
formation energy: -0.1198 eV per atom

Cell lengths 4.6016, 4.6016, 27.9041 Å; angles 90.00, 90.00, 120.00 degrees
Closest atoms and distances in Å follow each position.
Space group R-3m (No. 166, hexagonal axes)
Inequivalent atoms, fractional coordinates:
1 Ho 0.0000 0.0000 0.1069  3 Co 2.84, 3 In 3.14
2 Ho 0.0000 0.0000 0.2987  4 Co 2.84-2.94
3 In 0.0000 0.0000 0.5000  2 Co 2.67
4 Co 0.0000 0.0000 0.4041  1 In 2.67, 7 Ho 2.84-2.94



No. 7
Ho6In3Co | PBE-GGA | optimized geometry

Properties
uncorrected energy: -4.553 eV/atom
formation energy: -0.2739 eV per atom
ΔE to the lowest computed polymorph: 2.08 kJ per mole of atoms

Cell lengths 9.1092, 11.2735, 5.1198 Å; angles 90.00, 90.00, 90.00 degrees
Closest atoms and distances in Å follow each position.
Space group Pnnm (No. 58)
Inequivalent atoms, fractional coordinates:
1 Ho 0.0211 0.2266 0.0000  1 Co 2.56
2 Ho 0.1567 0.0727 0.5000  2 Co 3.04, 1 In 3.23, 3 Ho 3.29-3.33
3 Ho 0.1926 0.4080 0.5000  1 Co 2.99, 2 In 3.27
4 In 0.0000 0.5000 0.0000  8 Ho 3.09-3.27
5 In 0.1466 0.7197 0.5000  3 Ho 3.03-3.04
6 Co 0.0000 0.0000 0.0000  2 Ho 2.56



No. 8
LaHo2InCo | PBE-GGA | optimized geometry

Properties
uncorrected energy: -5.046 eV/atom
formation energy: -0.2607 eV per atom

Cell lengths 6.7468, 4.8353, 8.7868 Å; angles 90.00, 109.77, 90.00 degrees
Closest atoms and distances in Å follow each position.
Space group P2_1/m (No. 11)
Inequivalent atoms, fractional coordinates:
1 La 0.2438 0.2500 0.4425  1 Co 2.43
2 Ho 0.0529 0.2500 0.8577  1 Co 2.57
3 Ho 0.4067 0.7500 0.1034  2 Co 2.79
4 In 0.3057 0.7500 0.7140  1 Co 2.88, 2 Ho 3.17
5 Co 0.2410 0.2500 0.1658  1 La 2.43, 1 Ho 2.57



No. 9
LiHoInCo | PBE-GGA | optimized geometry

Properties
uncorrected energy: -4.275 eV/atom
formation energy: -0.1909 eV per atom

Cell lengths 6.5911, 6.5911, 6.5911 Å; angles 90.00, 90.00, 90.00 degrees
Closest atoms and distances in Å follow each position.
Space group F-43m (No. 216)
Inequivalent atoms, fractional coordinates:
1 Li 0.0000 0.0000 0.0000  4 In 2.85, 4 Ho 2.85
2 Ho 0.2500 0.2500 0.2500  4 Li 2.85, 4 Co 2.85
3 In 0.2500 0.2500 0.7500  4 Co 2.85, 4 Li 2.85
4 Co 0.0000 0.0000 0.5000  4 Ho 2.85, 4 In 2.85



No. 10
HoMgInCo | PBE-GGA | optimized geometry

Properties
uncorrected energy: -4.075 eV/atom
formation energy: -0.0708 eV per atom

Cell lengths 6.7617, 6.7617, 6.7617 Å; angles 90.00, 90.00, 90.00 degrees
Closest atoms and distances in Å follow each position.
Space group F-43m (No. 216)
Inequivalent atoms, fractional coordinates:
1 Ho 0.0000 0.0000 0.0000  4 Co 2.93, 4 Mg 2.93
2 Mg 0.2500 0.2500 0.7500  4 Ho 2.93, 4 In 2.93
3 In 0.0000 0.0000 0.5000  4 Co 2.93, 4 Mg 2.93
4 Co 0.2500 0.2500 0.2500  4 In 2.93, 4 Ho 2.93



No. 11
HoInCoNi | PBE-GGA | optimized geometry

Properties
uncorrected energy: -5.288 eV/atom
formation energy: -0.2374 eV per atom

Cell lengths 6.4652, 6.4652, 6.4652 Å; angles 90.00, 90.00, 90.00 degrees
Closest atoms and distances in Å follow each position.
Space group F-43m (No. 216)
Inequivalent atoms, fractional coordinates:
1 Ho 0.0000 0.0000 0.0000  4 Ni 2.80, 4 Co 2.80
2 In 0.0000 0.0000 0.5000  4 Co 2.80, 4 Ni 2.80
3 Co 0.2500 0.2500 0.7500  4 Ho 2.80, 4 In 2.80
4 Ni 0.2500 0.2500 0.2500  4 In 2.80, 4 Ho 2.80



No. 12
HoInCoPd | PBE-GGA | optimized geometry

Properties
uncorrected energy: -5.338 eV/atom
formation energy: -0.4339 eV per atom

Cell lengths 6.6218, 6.6218, 6.6218 Å; angles 90.00, 90.00, 90.00 degrees
Closest atoms and distances in Å follow each position.
Space group F-43m (No. 216)
Inequivalent atoms, fractional coordinates:
1 Ho 0.0000 0.0000 0.0000  4 Pd 2.87, 4 Co 2.87
2 In 0.0000 0.0000 0.5000  4 Co 2.87, 4 Pd 2.87
3 Co 0.2500 0.2500 0.2500  4 Ho 2.87, 4 In 2.87
4 Pd 0.2500 0.2500 0.7500  4 In 2.87, 4 Ho 2.87